Entry 1:
Rb2CuAuBr at its PBEsol-relaxed geometry, computed with meta-GGA SCAN.

a b c (Å): 6.3098 6.3098 4.7837
angles (deg): 90.00 90.00 90.00
Closest atoms and distances in Å follow each position.
Fractional positions:
Rb (0.0000, 0.5000, 0.0000)  2 Au 3.15
Rb (0.5000, 0.0000, 0.0000)  2 Au 3.15
Cu (0.0000, 0.0000, 0.5000)  2 Au 2.39
Au (0.0000, 0.0000, 0.0000)  2 Cu 2.39
Br (0.5000, 0.5000, 0.5000)  8 Rb 3.96

Results
The value obtained for the total energy is -29.6414 eV/atom. The uncorrected formation energy comes out at -2.91 eV/f.u. Its magnetic moment is 0.00 μB per formula unit. Its mass density is 4.46 g/cm3.

---

Entry 2:
AuBr3F at its PBEsol-relaxed geometry, computed with meta-GGA SCAN.

a b c (Å): 4.7915 4.7915 4.7915
angles (deg): 90.00 90.00 90.00
Closest atoms and distances in Å follow each position.
Fractional positions:
Au (0.0000, 0.0000, 0.0000)  12 Br 3.39
Br (0.0000, 0.5000, 0.5000)  2 F 2.40
Br (0.5000, 0.0000, 0.5000)  2 F 2.40
Br (0.5000, 0.5000, 0.0000)  2 F 2.40
F (0.5000, 0.5000, 0.5000)  6 Br 2.40

Results
The value obtained for the total energy is -25.5795 eV/atom. The uncorrected formation energy comes out at 3.18 eV/f.u. Its magnetic moment is 0.00 μB per formula unit. Its mass density is 6.88 g/cm3.

---

Entry 3:
FeAuBr at its PBEsol-relaxed geometry, computed with meta-GGA SCAN.

a b c (Å): 4.3981 4.3981 4.3981
angles (deg): 60.00 60.00 60.00
Closest atoms and distances in Å follow each position.
Fractional positions:
Fe (0.0000, 0.0000, 0.0000)  4 Br 2.69
Au (0.5000, 0.5000, 0.5000)  4 Br 2.69
Br (0.7500, 0.7500, 0.7500)  4 Au 2.69, 4 Fe 2.69

Results
The value obtained for the total energy is -34.7158 eV/atom. The uncorrected formation energy comes out at 2.60 eV/f.u. Its magnetic moment is 3.07 μB per formula unit. Its mass density is 9.18 g/cm3.